Entry 1:
{"formula": "Mg2NbSeN", "functional": "PBEsol", "state": "optimized geometry", "sg": "No. 123", "magmom_total_mub_per_fu": 0.45, "crystal_system": "tetragonal", "energy_ev_per_cell": -28.351, "raw_formation_energy_mev_per_atom": -344, "lattice": [[4.280, 0.000, 0.000], [0.000, 4.280, 0.000], [0.000, 0.000, 4.292]], "species": ["Mg", "Mg", "Nb", "Se", "N"], "frac_coords": [[0.000, 0.500, 0.000], [0.500, 0.000, 0.000], [0.000, 0.000, 0.500], [0.500, 0.500, 0.500], [0.000, 0.000, 0.000]]}


Entry 2:
{"formula": "MgNbTe2N", "functional": "PBEsol", "state": "optimized geometry", "sg": "No. 123", "magmom_total_mub_per_fu": 0.00, "crystal_system": "tetragonal", "energy_ev_per_cell": -28.506, "raw_formation_energy_mev_per_atom": -78, "lattice": [[5.539, 0.000, 0.000], [0.000, 5.539, 0.000], [0.000, 0.000, 3.891]], "species": ["Mg", "Nb", "Te", "Te", "N"], "frac_coords": [[0.000, 0.000, 0.000], [0.500, 0.500, 0.500], [0.000, 0.500, 0.500], [0.500, 0.000, 0.500], [0.500, 0.500, 0.000]]}


Entry 3:
{"formula": "Mg2NiN2", "functional": "PBEsol", "state": "optimized geometry", "sg": "No. 12", "magmom_total_mub_per_fu": 0.00, "crystal_system": "monoclinic", "energy_ev_per_cell": -58.067, "raw_formation_energy_mev_per_atom": -478, "lattice": [[5.050, -2.094, 0.000], [5.050, 2.094, 0.000], [-3.256, 0.000, 5.510]], "species": ["Mg", "Mg", "Mg", "Mg", "Ni", "Ni", "N", "N", "N", "N"], "frac_coords": [[0.038, 0.038, 0.247], [0.322, 0.322, 0.923], [0.678, 0.678, 0.077], [0.962, 0.962, 0.753], [0.373, 0.373, 0.376], [0.627, 0.627, 0.624], [0.180, 0.180, 0.099], [0.470, 0.470, 0.703], [0.530, 0.530, 0.297], [0.820, 0.820, 0.901]]}


Entry 4:
{"formula": "MgNiTeN2", "functional": "PBEsol", "state": "optimized geometry", "sg": "No. 123", "magmom_total_mub_per_fu": 3.28, "crystal_system": "tetragonal", "energy_ev_per_cell": -20.947, "raw_formation_energy_mev_per_atom": 1501, "lattice": [[3.860, 0.000, 0.000], [0.000, 3.860, 0.000], [0.000, 0.000, 5.802]], "species": ["Mg", "Ni", "Te", "N", "N"], "frac_coords": [[0.000, 0.000, 0.000], [0.500, 0.500, 0.500], [0.000, 0.000, 0.500], [0.000, 0.500, 0.000], [0.500, 0.000, 0.000]]}